# 1
Compound: ZnTe2PdN
Source: Alexandria via LeMat-Bulk
Functional: GGA-PBE
Structure: optimized geometry

Values from the calculation:
Magnetic moment (μB/atom): 0.301
Space-group type: P4/mmm
Electronic total energy (eV/cell): -17.0
Offset from the most stable computed form (meV/atom): 165

Unit cell a=5.510 b=5.510 c=3.546 alpha=90.00 beta=90.00 gamma=90.00
Positions (direct):
Zn (0.000, 0.000, 0.000)
Te (0.000, 0.500, 0.000)
Te (0.500, 0.000, 0.000)
Pd (0.500, 0.500, 0.500)
N (0.000, 0.000, 0.500)

# 2
Compound: ZnTe2PdN
Source: Alexandria via LeMat-Bulk
Functional: GGA-PBE
Structure: optimized geometry

Values from the calculation:
Magnetic moment (μB/atom): 0.000
Space-group type: P4/mmm
Electronic total energy (eV/cell): -17.8
Offset from the most stable computed form (meV/atom): 0

Unit cell a=5.588 b=5.588 c=3.683 alpha=90.00 beta=90.00 gamma=90.00
Positions (direct):
Zn (0.000, 0.000, 0.000)
Te (0.000, 0.500, 0.500)
Te (0.500, 0.000, 0.500)
Pd (0.500, 0.500, 0.500)
N (0.500, 0.500, 0.000)

# 3
Compound: ThPdN
Source: Alexandria via LeMat-Bulk
Functional: GGA-PBE
Structure: optimized geometry

Values from the calculation:
Magnetic moment (μB/atom): 0.000
Space-group type: R3
Electronic total energy (eV/cell): -69.8

Unit cell a=6.428 b=6.428 c=6.428 alpha=60.94 beta=60.94 gamma=60.94
Positions (direct):
Th (0.000, 0.000, 0.000)
Th (0.209, 0.209, 0.209)
Th (0.726, 0.726, 0.726)
Pd (0.265, 0.720, 0.641)
Pd (0.641, 0.265, 0.720)
Pd (0.720, 0.641, 0.265)
N (0.023, 0.903, 0.391)
N (0.391, 0.023, 0.903)
N (0.903, 0.391, 0.023)

Energy relative to the elements, uncorrected? In order: 0.8229 0.6577 -0.7738 eV per atom.